No. 1
A plane-wave DFT calculation with GGA-PBE was carried out for an optimized crystal structure of Sr2SbAs.

```
data_Sr2SbAs
_chemical_formula_sum 'Sr8 Sb4 As4'
_symmetry_space_group_name_H-M 'I -4 2 d'
_symmetry_Int_Tables_number 122
_symmetry_space_group_name_Hall 'I -4 2bw'
_cell_length_a 8.6757
_cell_length_b 8.6757
_cell_length_c 6.9562
_cell_angle_alpha 90.00
_cell_angle_beta 90.00
_cell_angle_gamma 90.00
loop_
_atom_site_label
_atom_site_type_symbol
_atom_site_fract_x
_atom_site_fract_y
_atom_site_fract_z
Sr1 Sr 0.2229 0.2500 0.1250
Sb1 Sb 0.0000 0.0000 0.5000
As1 As 0.0000 0.0000 0.0000
```

Total magnetization in μB/f.u.: 0.00
Formation energy without anion corrections in meV/atom: -701
Electronic total energy in eV/cell: -59.76

***

No. 2
A plane-wave DFT calculation with GGA-PBE was carried out for an optimized crystal structure of Sr2SbAs.

```
data_Sr2SbAs
_chemical_formula_sum 'Sr4 Sb2 As2'
_symmetry_space_group_name_H-M 'C m m m'
_symmetry_Int_Tables_number 65
_symmetry_space_group_name_Hall '-C 2 2'
_cell_length_a 7.2879
_cell_length_b 8.6336
_cell_length_c 3.8673
_cell_angle_alpha 90.00
_cell_angle_beta 90.00
_cell_angle_gamma 90.00
loop_
_atom_site_label
_atom_site_type_symbol
_atom_site_fract_x
_atom_site_fract_y
_atom_site_fract_z
Sr1 Sr 0.2500 0.2500 0.0000
Sb1 Sb 0.0000 0.0000 0.5000
As1 As 0.0000 0.5000 0.5000
```

Total magnetization in μB/f.u.: 0.00
Formation energy without anion corrections in meV/atom: -829
Electronic total energy in eV/cell: -30.90

***

No. 3
A plane-wave DFT calculation with GGA-PBE was carried out for an optimized crystal structure of SrSbAs2.

```
data_SrSbAs2
_chemical_formula_sum 'Sr3 Sb3 As6'
_symmetry_space_group_name_H-M 'R -3 m'
_symmetry_Int_Tables_number 166
_symmetry_space_group_name_Hall '-R 3 2"'
_cell_length_a 4.1513
_cell_length_b 4.1513
_cell_length_c 22.2900
_cell_angle_alpha 90.00
_cell_angle_beta 90.00
_cell_angle_gamma 120.00
loop_
_atom_site_label
_atom_site_type_symbol
_atom_site_fract_x
_atom_site_fract_y
_atom_site_fract_z
Sr1 Sr 0.0000 0.0000 0.0000
Sb1 Sb 0.0000 0.0000 0.5000
As1 As 0.0000 0.0000 0.2394
```

Total magnetization in μB/f.u.: 0.00
Formation energy without anion corrections in meV/atom: -400
Electronic total energy in eV/cell: -50.11

***

No. 4
A plane-wave DFT calculation with GGA-PBE was carried out for an optimized crystal structure of SrSbAs2.

```
data_SrSbAs2
_chemical_formula_sum 'Sr1 Sb1 As2'
_symmetry_space_group_name_H-M 'P 4/m m m'
_symmetry_Int_Tables_number 123
_symmetry_space_group_name_Hall '-P 4 2'
_cell_length_a 3.9568
_cell_length_b 3.9568
_cell_length_c 6.5116
_cell_angle_alpha 90.00
_cell_angle_beta 90.00
_cell_angle_gamma 90.00
loop_
_atom_site_label
_atom_site_type_symbol
_atom_site_fract_x
_atom_site_fract_y
_atom_site_fract_z
Sr1 Sr 0.0000 0.0000 0.0000
Sb1 Sb 0.0000 0.0000 0.5000
As1 As 0.5000 0.5000 0.2775
```

Total magnetization in μB/f.u.: 0.00
Formation energy without anion corrections in meV/atom: -259
Electronic total energy in eV/cell: -16.14